Sm2Si3Pt12Rh | PBE | relaxed

Geometry as POSCAR:
```
Sm2Si3Pt12Rh
1.0
4.1050 2.3700 6.0679
-4.1050 2.3700 6.0679
0.0000 -4.7400 6.0679
Sm Si Pt Rh
2 3 12 1
Direct
0.1109 0.1109 0.1109 Sm
0.8891 0.8891 0.8891 Sm
0.0000 0.5000 0.5000 Si
0.5000 0.0000 0.5000 Si
0.5000 0.5000 0.0000 Si
0.1186 0.6324 0.6324 Pt
0.1444 0.1444 0.6028 Pt
0.1444 0.6028 0.1444 Pt
0.3676 0.3676 0.8814 Pt
0.3676 0.8814 0.3676 Pt
0.3972 0.8556 0.8556 Pt
0.6028 0.1444 0.1444 Pt
0.6324 0.1186 0.6324 Pt
0.6324 0.6324 0.1186 Pt
0.8556 0.3972 0.8556 Pt
0.8556 0.8556 0.3972 Pt
0.8814 0.3676 0.3676 Pt
0.5000 0.5000 0.5000 Rh
```

The formation energy without anion corrections is -7.14 eV per formula unit. As for the space-group type: No. 166. The calculation puts the total energy at -6.261 eV per atom.

HfRuRh2 | PBE | relaxed

Geometry as POSCAR:
```
HfRuRh2
1.0
0.0000 3.1727 3.1727
3.1727 0.0000 3.1727
3.1727 3.1727 0.0000
Hf Ru Rh
1 1 2
Direct
0.0000 0.0000 0.0000 Hf
0.5000 0.5000 0.5000 Ru
0.2500 0.2500 0.2500 Rh
0.7500 0.7500 0.7500 Rh
```

Its formation energy is -0.2435 eV/atom. As for the space-group type: No. 225. The calculation puts the total energy at -8.727 eV per atom.

- Which formula does entry 2 have?
  HfRuRh2